Material: UP2Rh
Method: DFT, GGA-PBE
State: relaxed

Summary:
formation energy from the elements	-0.817	eV/atom
DOS(E_F)	1.00	states/eV per atom

Unit cell a=3.8401 b=3.8401 c=9.6534 alpha=90.00 beta=90.00 gamma=90.00
Space group I-4m2 (No. 119)
Inequivalent atoms, fractional coordinates:
U 0.0000 0.0000 0.0000 [2 per cell]
P 0.0000 0.0000 0.3848 [4 per cell]
Rh 0.0000 0.5000 0.7500 [2 per cell]



Material: BaRhCl2
Method: DFT, GGA-PBE
State: relaxed

Summary:
E above lowest polymorph	243.9	meV per atom
DOS(E_F)	1.85	states/eV per atom
formation energy from raw total energies	-0.8406	eV per atom

Unit cell a=7.2881 b=7.2881 c=7.2881 alpha=90.00 beta=90.00 gamma=90.00
Space group Fm-3m (No. 225)
Inequivalent atoms, fractional coordinates:
Ba 0.0000 0.0000 0.0000 [4 per cell]
Rh 0.0000 0.0000 0.5000 [4 per cell]
Cl 0.2500 0.2500 0.2500 [8 per cell]



Material: ReBr2Cl
Method: DFT, GGA-PBE
State: relaxed

Summary:
E above lowest polymorph	1348.3	meV per atom
DOS(E_F)	0.96	states/eV per atom
formation energy from raw total energies	1.2844	eV per atom

Unit cell a=7.1461 b=7.1644 c=3.2430 alpha=90.00 beta=90.00 gamma=90.00
Space group Cmmm (No. 65)
Inequivalent atoms, fractional coordinates:
Re 0.0000 0.0000 0.0000 [2 per cell]
Br 0.2500 0.2500 0.5000 [4 per cell]
Cl 0.0000 0.5000 0.0000 [2 per cell]



One value per record, in order, for mass density: 9.399 5.339 7.630 Mg/m³.